Entry from Alexandria: crystalline BaSn2Au2 at its relaxed geometry (GGA-PBE).

abc: 8.5414 8.5414 3.6171
angles: 90.00 90.00 90.00
Fractional coordinates of all 10 atoms:
Au: 0.3752 0.8752 0.0000
Au: 0.8752 0.6248 0.0000
Au: 0.6248 0.1248 0.0000
Au: 0.1248 0.3752 0.0000
Ba: 0.0000 0.0000 0.0000
Ba: 0.5000 0.5000 0.0000
Sn: 0.1625 0.6625 0.5000
Sn: 0.6625 0.8375 0.5000
Sn: 0.8375 0.3375 0.5000
Sn: 0.3375 0.1625 0.5000

Results
Total magnetization in μB per cell: 0.00
VASP energy in eV/atom: -3.585


Entry from Alexandria: crystalline BaSn2Au4 at its relaxed geometry (GGA-PBE).

abc: 4.8506 7.5614 19.3986
angles: 90.00 90.00 90.00
Fractional coordinates of all 28 atoms:
Ba: 0.7500 0.1184 0.6367
Ba: 0.2500 0.8816 0.3633
Ba: 0.2500 0.6184 0.8633
Ba: 0.7500 0.3816 0.1367
Sn: 0.2500 0.7450 0.5569
Sn: 0.7500 0.2550 0.4431
Sn: 0.7500 0.2450 0.9431
Sn: 0.2500 0.7550 0.0569
Sn: 0.2500 0.0716 0.8109
Sn: 0.7500 0.9284 0.1891
Sn: 0.7500 0.5716 0.6891
Sn: 0.2500 0.4284 0.3109
Au: 0.2500 0.3799 0.7222
Au: 0.7500 0.6201 0.2778
Au: 0.7500 0.8799 0.7778
Au: 0.2500 0.1201 0.2222
Au: 0.2500 0.8038 0.6974
Au: 0.7500 0.1962 0.3026
Au: 0.7500 0.3038 0.8026
Au: 0.2500 0.6962 0.1974
Au: 0.2500 0.1091 0.5069
Au: 0.7500 0.8909 0.4931
Au: 0.7500 0.6091 0.9931
Au: 0.2500 0.3909 0.0069
Au: 0.2500 0.4698 0.4561
Au: 0.7500 0.5302 0.5439
Au: 0.7500 0.9698 0.0439
Au: 0.2500 0.0302 0.9561

Results
E above lowest polymorph in eV per atom: 0.000
Total magnetization in μB per cell: 0.00
VASP energy in eV/atom: -3.700


Entry from Alexandria: crystalline BaSn4Au at its relaxed geometry (GGA-PBE).

abc: 4.8359 7.5385 9.7493
angles: 90.00 104.36 90.00
Fractional coordinates of all 12 atoms:
Ba: 0.1179 0.2500 0.2358
Ba: 0.8821 0.7500 0.7642
Sn: 0.5000 0.5000 0.0000
Sn: 0.5000 0.0000 0.0000
Sn: 0.6831 0.9525 0.3661
Sn: 0.3169 0.0475 0.6339
Sn: 0.3169 0.4525 0.6339
Sn: 0.6831 0.5475 0.3661
Sn: 0.0675 0.7500 0.1350
Sn: 0.9325 0.2500 0.8650
Au: 0.2195 0.7500 0.4391
Au: 0.7805 0.2500 0.5609

Results
E above lowest polymorph in eV per atom: 0.000
Total magnetization in μB per cell: 0.00
VASP energy in eV/atom: -3.887


Entry from Alexandria: crystalline Ba3Sn4Au4 at its relaxed geometry (GGA-PBE).

abc: 4.7537 4.8096 14.7736
angles: 80.60 80.76 89.96
Fractional coordinates of all 11 atoms:
Ba: 0.1482 0.6477 0.7052
Ba: 0.8518 0.3523 0.2948
Ba: 0.0000 0.0000 0.0000
Sn: 0.5989 0.0979 0.8052
Sn: 0.2510 0.2507 0.4983
Sn: 0.7490 0.7493 0.5017
Sn: 0.4011 0.9021 0.1948
Au: 0.5508 0.5498 0.9011
Au: 0.4493 0.4502 0.0989
Au: 0.3056 0.8057 0.3881
Au: 0.6944 0.1943 0.6119

Results
Total magnetization in μB per cell: 0.00
VASP energy in eV/atom: -3.810


Entry from Alexandria: crystalline BaSnAu4 at its relaxed geometry (GGA-PBE).

abc: 5.8285 5.8285 5.8285
angles: 60.00 60.00 60.00
Fractional coordinates of all 6 atoms:
Au: 0.6244 0.6244 0.1267
Au: 0.6244 0.1267 0.6244
Au: 0.6244 0.6244 0.6244
Au: 0.1267 0.6244 0.6244
Ba: 0.0000 0.0000 0.0000
Sn: 0.2500 0.2500 0.2500

Results
E above lowest polymorph in eV per atom: 0.068
Total magnetization in μB per cell: 0.00
VASP energy in eV/atom: -3.533


Entry from Alexandria: crystalline BaSn8Au6 at its relaxed geometry (GGA-PBE).

abc: 8.0163 8.0163 8.6692
angles: 62.46 62.46 60.00
Fractional coordinates of all 15 atoms:
Ba: 0.0000 0.0000 0.0000
Sn: 0.5740 0.2115 0.3519
Sn: 0.7885 0.1374 0.6481
Sn: 0.1374 0.4260 0.6481
Sn: 0.6715 0.6715 0.9855
Sn: 0.3285 0.3285 0.0145
Sn: 0.8626 0.5740 0.3519
Sn: 0.2115 0.8626 0.3519
Sn: 0.4260 0.7885 0.6481
Au: 0.4475 0.0618 0.7482
Au: 0.9382 0.2576 0.2518
Au: 0.2576 0.5525 0.2518
Au: 0.7424 0.4475 0.7482
Au: 0.0618 0.7424 0.7482
Au: 0.5525 0.9382 0.2518

Results
Total magnetization in μB per cell: 0.00
VASP energy in eV/atom: -3.780


Entry from Alexandria: crystalline BaSnAu3 at its relaxed geometry (GGA-PBE).

abc: 5.9045 5.9045 5.9045
angles: 90.00 90.00 90.00
Fractional coordinates of all 5 atoms:
Au: 0.0000 0.5000 0.0000
Au: 0.0000 0.0000 0.5000
Au: 0.5000 0.0000 0.0000
Ba: 0.0000 0.0000 0.0000
Sn: 0.5000 0.5000 0.5000

Results
E above lowest polymorph in eV per atom: 1.108
Total magnetization in μB per cell: 0.00
VASP energy in eV/atom: -2.529


Entry from Alexandria: crystalline BaSn3Au at its relaxed geometry (GGA-PBE).

abc: 5.1113 5.1113 6.7021
angles: 112.53 112.53 89.90
Fractional coordinates of all 5 atoms:
Au: 0.6490 0.6490 0.2988
Ba: 0.0075 0.0075 0.0138
Sn: 0.7581 0.2582 0.5165
Sn: 0.2582 0.7581 0.5165
Sn: 0.4063 0.4063 0.8126

Results
Total magnetization in μB per cell: 0.00
VASP energy in eV/atom: -3.952


Entry from Alexandria: crystalline BaSn4Au at its relaxed geometry (GGA-PBE).

abc: 8.0419 7.6749 8.1952
angles: 97.48 131.06 98.49
Fractional coordinates of all 12 atoms:
Ba: 0.7983 0.7504 0.0445
Ba: 0.2017 0.2496 0.9555
Sn: 0.2991 0.8902 0.6857
Sn: 0.7547 0.2505 0.0001
Sn: 0.7009 0.1098 0.3143
Sn: 0.2453 0.7495 0.9999
Sn: 0.7848 0.7786 0.5086
Sn: 0.3027 0.5945 0.3850
Sn: 0.2152 0.2214 0.4914
Sn: 0.6973 0.4055 0.6150
Au: 0.5000 0.0000 0.5000
Au: 0.0000 0.5000 0.5000

Results
E above lowest polymorph in eV per atom: 0.070
Total magnetization in μB per cell: 0.00
VASP energy in eV/atom: -3.817


Entry from Alexandria: crystalline BaSn3Au3 at its relaxed geometry (GGA-PBE).

abc: 7.6382 7.6382 7.6382
angles: 90.00 90.00 90.00
Fractional coordinates of all 14 atoms:
Au: 0.2500 0.0000 0.5000
Au: 0.0000 0.5000 0.2500
Au: 0.5000 0.7500 0.0000
Au: 0.7500 0.0000 0.5000
Au: 0.0000 0.5000 0.7500
Au: 0.5000 0.2500 0.0000
Ba: 0.5000 0.5000 0.5000
Ba: 0.0000 0.0000 0.0000
Sn: 0.0000 0.2500 0.5000
Sn: 0.0000 0.7500 0.5000
Sn: 0.5000 0.0000 0.7500
Sn: 0.7500 0.5000 0.0000
Sn: 0.5000 0.0000 0.2500
Sn: 0.2500 0.5000 0.0000

Results
E above lowest polymorph in eV per atom: 0.047
Total magnetization in μB per cell: 0.00
VASP energy in eV/atom: -3.700


Entry from Alexandria: crystalline Ba2Sn2Au7 at its relaxed geometry (GGA-PBE).

abc: 4.6485 8.9784 8.9784
angles: 121.60 89.93 89.93
Fractional coordinates of all 11 atoms:
Ba: 0.5000 0.8062 0.1938
Ba: 0.5000 0.1938 0.8062
Sn: 0.9982 0.3327 0.3327
Sn: 0.0018 0.6673 0.6673
Au: 0.0001 0.5042 0.1537
Au: 0.9999 0.8463 0.4958
Au: 0.9999 0.4958 0.8463
Au: 0.0001 0.1537 0.5042
Au: 0.5010 0.8256 0.8256
Au: 0.0000 0.0000 0.0000
Au: 0.4990 0.1744 0.1744

Results
Total magnetization in μB per cell: 0.00
VASP energy in eV/atom: -3.552


Entry from Alexandria: crystalline BaSnAu at its relaxed geometry (GGA-PBE).

abc: 4.8058 4.7635 8.5240
angles: 90.00 90.00 90.00
Fractional coordinates of all 6 atoms:
Ba: 0.0000 0.0000 0.0000
Ba: 0.5000 0.0000 0.5000
Sn: 0.0000 0.5000 0.3307
Sn: 0.0000 0.5000 0.6693
Au: 0.5000 0.5000 0.1654
Au: 0.5000 0.5000 0.8346

Results
Total magnetization in μB per cell: 0.00
VASP energy in eV/atom: -3.728


Entry from Alexandria: crystalline BaSn3Au3 at its relaxed geometry (GGA-PBE).

abc: 4.8133 9.4901 9.5220
angles: 120.22 90.00 90.00
Fractional coordinates of all 14 atoms:
Ba: 0.7500 0.3342 0.6668
Ba: 0.2500 0.6658 0.3332
Sn: 0.7500 0.7652 0.0436
Sn: 0.7500 0.2778 0.2348
Sn: 0.7500 0.9577 0.7212
Sn: 0.2500 0.2348 0.9564
Sn: 0.2500 0.7222 0.7652
Sn: 0.2500 0.0423 0.2788
Au: 0.7500 0.9399 0.3946
Au: 0.7500 0.4539 0.0594
Au: 0.7500 0.6057 0.5459
Au: 0.2500 0.0601 0.6054
Au: 0.2500 0.5461 0.9406
Au: 0.2500 0.3943 0.4541

Results
E above lowest polymorph in eV per atom: 0.000
Total magnetization in μB per cell: 0.00
VASP energy in eV/atom: -3.747


Entry from Alexandria: crystalline Ba3Sn3Au8 at its relaxed geometry (GGA-PBE).

abc: 4.9568 9.1586 9.1586
angles: 67.56 74.30 74.30
Fractional coordinates of all 14 atoms:
Ba: 0.5000 0.5000 0.5000
Ba: 0.7913 0.2087 0.2087
Ba: 0.2087 0.7913 0.7913
Sn: 0.5000 0.0000 0.0000
Sn: 0.0000 0.7919 0.2081
Sn: 0.0000 0.2081 0.7919
Au: 0.6378 0.0740 0.6504
Au: 0.3622 0.9260 0.3496
Au: 0.6378 0.6504 0.0740
Au: 0.3622 0.3496 0.9260
Au: 0.8383 0.8024 0.5211
Au: 0.1617 0.1976 0.4789
Au: 0.8383 0.5211 0.8024
Au: 0.1617 0.4789 0.1976

Results
E above lowest polymorph in eV per atom: 0.036
Total magnetization in μB per cell: 0.00
VASP energy in eV/atom: -3.658


Entry from Alexandria: crystalline Ba3Sn2Au4 at its relaxed geometry (GGA-PBE).

abc: 4.8373 6.7454 9.5460
angles: 101.63 90.00 111.01
Fractional coordinates of all 9 atoms:
Ba: 0.6672 0.3344 0.6736
Ba: 0.0000 0.0000 0.0000
Ba: 0.3328 0.6656 0.3264
Sn: 0.6091 0.2182 0.2836
Sn: 0.3909 0.7818 0.7164
Au: 0.7193 0.4386 0.0597
Au: 0.2807 0.5614 0.9403
Au: 0.9444 0.8888 0.6122
Au: 0.0556 0.1112 0.3878

Results
Total magnetization in μB per cell: 0.00
VASP energy in eV/atom: -3.659


Entry from Alexandria: crystalline BaSn2Au2 at its relaxed geometry (GGA-PBE).

abc: 8.7221 8.7221 3.4136
angles: 90.00 90.00 90.00
Fractional coordinates of all 10 atoms:
Au: 0.1604 0.6604 0.5000
Au: 0.6604 0.8396 0.5000
Au: 0.8396 0.3396 0.5000
Au: 0.3396 0.1604 0.5000
Ba: 0.0000 0.0000 0.0000
Ba: 0.5000 0.5000 0.0000
Sn: 0.3689 0.8689 0.0000
Sn: 0.8689 0.6311 0.0000
Sn: 0.6311 0.1311 0.0000
Sn: 0.1311 0.3689 0.0000

Results
Total magnetization in μB per cell: 0.00
VASP energy in eV/atom: -3.572


Entry from Alexandria: crystalline Ba3SnAu3 at its relaxed geometry (GGA-PBE).

abc: 6.6007 9.8582 9.8582
angles: 120.00 90.00 90.00
Fractional coordinates of all 14 atoms:
Ba: 0.7500 0.6967 0.6289
Ba: 0.7500 0.3711 0.0678
Ba: 0.7500 0.9322 0.3033
Ba: 0.2500 0.3033 0.3711
Ba: 0.2500 0.6289 0.9322
Ba: 0.2500 0.0678 0.6967
Sn: 0.2500 0.6667 0.3333
Sn: 0.7500 0.3333 0.6667
Au: 0.2500 0.6961 0.6315
Au: 0.2500 0.3685 0.0646
Au: 0.2500 0.9354 0.3039
Au: 0.7500 0.3039 0.3685
Au: 0.7500 0.6315 0.9354
Au: 0.7500 0.0646 0.6961

Results
E above lowest polymorph in eV per atom: 0.095
Total magnetization in μB per cell: 0.00
VASP energy in eV/atom: -3.379


Entry from Alexandria: crystalline Ba12SnAu6 at its relaxed geometry (GGA-PBE).

abc: 10.0867 10.0867 10.0867
angles: 109.47 109.47 109.47
Fractional coordinates of all 19 atoms:
Ba: 0.3004 0.1223 0.8219
Ba: 0.3004 0.4784 0.1781
Ba: 0.6996 0.5216 0.8219
Ba: 0.6996 0.8777 0.1781
Ba: 0.1223 0.8219 0.3004
Ba: 0.4784 0.1781 0.3004
Ba: 0.5216 0.8219 0.6996
Ba: 0.8777 0.1781 0.6996
Ba: 0.8219 0.3004 0.1223
Ba: 0.1781 0.3004 0.4784
Ba: 0.8219 0.6996 0.5216
Ba: 0.1781 0.6996 0.8777
Sn: 0.0000 0.0000 0.0000
Au: 0.3740 0.5000 0.8740
Au: 0.6260 0.5000 0.1260
Au: 0.5000 0.8740 0.3740
Au: 0.5000 0.1260 0.6260
Au: 0.8740 0.3740 0.5000
Au: 0.1260 0.6260 0.5000

Results
Total magnetization in μB per cell: 0.00
VASP energy in eV/atom: -2.991


Entry from Alexandria: crystalline Ba3Sn3Au2 at its relaxed geometry (GGA-PBE).

abc: 4.7638 6.8405 17.9627
angles: 90.00 90.00 110.38
Fractional coordinates of all 16 atoms:
Ba: 0.8568 0.7137 0.4035
Ba: 0.1432 0.2863 0.9035
Ba: 0.8568 0.7137 0.0965
Ba: 0.1432 0.2863 0.5965
Ba: 0.5724 0.1447 0.2500
Ba: 0.4276 0.8553 0.7500
Sn: 0.5843 0.1685 0.4482
Sn: 0.4157 0.8315 0.9482
Sn: 0.5843 0.1685 0.0518
Sn: 0.4157 0.8315 0.5518
Sn: 0.2851 0.5702 0.2500
Sn: 0.7149 0.4298 0.7500
Au: 0.8498 0.6996 0.8773
Au: 0.1502 0.3004 0.3773
Au: 0.8498 0.6996 0.6227
Au: 0.1502 0.3004 0.1227

Results
Total magnetization in μB per cell: 0.00
VASP energy in eV/atom: -3.719


Entry from Alexandria: crystalline Ba2Sn3Au5 at its relaxed geometry (GGA-PBE).

abc: 6.9543 9.4626 9.4626
angles: 73.26 68.44 68.44
Fractional coordinates of all 20 atoms:
Ba: 0.1286 0.6061 0.1367
Ba: 0.6286 0.1367 0.6061
Ba: 0.8714 0.3939 0.8633
Ba: 0.3714 0.8633 0.3939
Sn: 0.3659 0.5219 0.7464
Sn: 0.8659 0.7464 0.5219
Sn: 0.6341 0.4781 0.2536
Sn: 0.1341 0.2536 0.4781
Sn: 0.2500 0.0000 0.0000
Sn: 0.7500 0.0000 0.0000
Au: 0.3892 0.2586 0.9630
Au: 0.8892 0.9630 0.2586
Au: 0.6108 0.7414 0.0370
Au: 0.1108 0.0370 0.7414
Au: 0.4812 0.7688 0.7688
Au: 0.5188 0.2312 0.2312
Au: 0.7500 0.5000 0.5000
Au: 0.2500 0.5000 0.5000
Au: 0.0188 0.2312 0.2312
Au: 0.9812 0.7688 0.7688

Results
E above lowest polymorph in eV per atom: 0.000
Total magnetization in μB per cell: 0.00
VASP energy in eV/atom: -3.789